This record from Alexandria via LeMat-Bulk describes an optimized crystal structure of ZnNi2Se. The functional is GGA-PBE.

Cell: 4.132 4.132 4.834 Å, 101.35 101.35 42.68°
Element x y z (fractional)
Zn (0.000, 0.000, 0.000)
Ni (0.246, 0.246, 0.747)
Ni (0.754, 0.754, 0.253)
Se (0.500, 0.500, 0.500)

* total moment: 0.00 μB/cell
* distance to the lowest polymorph of the same formula: 91 meV per atom
* raw formation energy: 0.024 eV per atom
* DFT total energy: -4.056 eV/atom